! FeAuI2O GGA+U optimized geometry; values from VASP
! Polymorph energy (0 for the lowest one) ... 0 meV/atom
! DOS(E_F) ... 0.18 states/eV per atom
! Total energy ... -3.418 eV per atom
! Spin magnetization ... 4.9 Bohr magnetons per cell
&SYSTEM
  ibrav = 0, nat = 5, ntyp = 4
/
ATOMIC_SPECIES
Fe 55.84 Fe.upf
Au 196.97 Au.upf
I 126.90 I.upf
O 16.00 O.upf
CELL_PARAMETERS angstrom
5.802 0.000 0.000
0.000 5.802 0.000
0.000 0.000 3.656
ATOMIC_POSITIONS crystal
Fe 0.000 0.000 0.000
Au 0.500 0.500 0.500
I 0.000 0.500 0.000
I 0.500 0.000 0.000
O 0.000 0.000 0.500